Material: GaNi5Ir2
Method: DFT, PBE-GGA
State: optimized geometry

Values from the calculation:
Crystal system   orthorhombic
Final energy   -6.308 eV/atom
Space-group type   Fmmm (69)
Calculated formation energy   -101 meV per atom

Structure (POSCAR):
```
GaNi5Ir2
1.0
-3.2908 -2.8579 0.9976
1.3497 -4.1463 -0.9893
2.8743 2.9801 4.7806
Ni Ir Ga
5 2 1
direct
0.8758 0.3758 0.7515 Ni
0.0000 0.0000 0.0000 Ni
0.1242 0.6242 0.2485 Ni
0.3758 0.8758 0.7515 Ni
0.6242 0.1242 0.2485 Ni
0.2454 0.2454 0.4907 Ir
0.7546 0.7546 0.5093 Ir
0.5000 0.5000 0.0000 Ga
```

---

Material: GaNiIr
Method: DFT, PBE-GGA
State: optimized geometry

Values from the calculation:
Crystal system   monoclinic
Final energy   -6.121 eV/atom
Space-group type   C2 (5)
Calculated formation energy   -231 meV per atom

Structure (POSCAR):
```
GaNiIr
1.0
4.9418 0.0000 -0.0065
0.0000 4.6793 0.0000
-4.1931 0.0000 6.9313
Ni Ir Ga
4 4 4
direct
0.5000 0.2146 0.0000 Ni
0.0000 0.0487 0.0000 Ni
0.0000 0.5487 0.5000 Ni
0.5000 0.7146 0.5000 Ni
0.4957 0.2236 0.3291 Ir
0.5043 0.2236 0.6709 Ir
0.5043 0.7236 0.1709 Ir
0.4957 0.7236 0.8291 Ir
0.9913 0.5436 0.1635 Ga
0.0087 0.0436 0.3365 Ga
0.9913 0.0436 0.6635 Ga
0.0087 0.5436 0.8365 Ga
```

---

Material: GaNi6Ir
Method: DFT, PBE-GGA
State: optimized geometry

Values from the calculation:
Crystal system   monoclinic
Final energy   -5.722 eV/atom
Space-group type   C2/m (12)
Calculated formation energy   100 meV per atom

Structure (POSCAR):
```
GaNi6Ir
1.0
-1.3839 2.6623 -3.0941
1.5834 -1.0759 -3.8616
-4.7459 -3.1632 -2.9421
Ga Ni Ir
1 6 1
direct
0.0000 0.0000 0.0000 Ga
0.6293 0.6293 0.0803 Ni
0.5412 0.0592 0.3006 Ni
0.3707 0.3707 0.9197 Ni
0.9408 0.4588 0.6994 Ni
0.0592 0.5412 0.3006 Ni
0.4588 0.9408 0.6994 Ni
0.5000 0.5000 0.5000 Ir
```

---

Material: Ga2Ni6Ir
Method: DFT, PBE-GGA
State: optimized geometry

Values from the calculation:
Crystal system   monoclinic
Final energy   -5.531 eV/atom
Space-group type   C2/m (12)
Calculated formation energy   -19 meV per atom

Structure (POSCAR):
```
Ga2Ni6Ir
1.0
6.7572 0.3094 0.1791
0.6968 4.2540 -0.3393
0.6968 1.8252 3.8575
Ni Ir Ga
6 1 2
direct
0.5045 0.2474 0.2474 Ni
0.4955 0.7526 0.7526 Ni
0.6858 0.7028 0.2144 Ni
0.3142 0.2972 0.7856 Ni
0.3142 0.7856 0.2972 Ni
0.6858 0.2144 0.7028 Ni
0.0000 0.0000 0.0000 Ir
0.1112 0.3249 0.3249 Ga
0.8888 0.6751 0.6751 Ga
```

---

Material: Ga8Ni2Ir
Method: DFT, PBE-GGA
State: optimized geometry

Values from the calculation:
Crystal system   monoclinic
Final energy   -4.298 eV/atom
Space-group type   C2/m (12)
Calculated formation energy   -240 meV per atom

Structure (POSCAR):
```
Ga8Ni2Ir
1.0
4.0163 0.0000 0.0000
0.0000 5.3640 -0.1748
-2.0081 -2.5338 8.1216
Ir Ga Ni
1 8 2
direct
0.5000 0.0000 0.0000 Ir
0.6522 0.9764 0.3044 Ga
0.3926 0.5529 0.7852 Ga
0.9651 0.2370 0.9302 Ga
0.3478 0.0236 0.6956 Ga
0.2203 0.3001 0.4407 Ga
0.0349 0.7630 0.0698 Ga
0.7797 0.6999 0.5593 Ga
0.6074 0.4471 0.2148 Ga
0.1879 0.7286 0.3757 Ni
0.8121 0.2714 0.6243 Ni
```

---

Material: Ga4Ni2Ir
Method: DFT, PBE-GGA
State: optimized geometry

Values from the calculation:
Crystal system   monoclinic
Final energy   -4.895 eV/atom
Space-group type   C2/m (12)
Calculated formation energy   -247 meV per atom

Structure (POSCAR):
```
Ga4Ni2Ir
1.0
-2.9512 -0.0398 0.5201
-0.4395 -5.2436 -2.8956
2.6096 -0.1870 6.1591
Ga Ni Ir
4 2 1
direct
0.8984 0.2681 0.7968 Ga
0.3624 0.6413 0.7249 Ga
0.1016 0.7319 0.2032 Ga
0.6376 0.3587 0.2751 Ga
0.7621 0.8153 0.5242 Ni
0.2379 0.1847 0.4758 Ni
0.0000 0.0000 0.0000 Ir
```

---

Material: Ga2NiIr
Method: DFT, PBE-GGA
State: optimized geometry

Values from the calculation:
Crystal system   tetragonal
Final energy   -5.132 eV/atom
Space-group type   I-42d (122)
Calculated formation energy   42 meV per atom

Structure (POSCAR):
```
Ga2NiIr
1.0
-2.6555 2.6042 0.8887
-1.9415 -0.8980 -3.1698
-6.5847 -4.9772 3.1366
Ga Ni Ir
4 2 2
direct
0.1344 0.6250 0.2500 Ga
0.6156 0.1250 0.2500 Ga
0.8750 0.8656 0.7500 Ga
0.3750 0.3844 0.7500 Ga
0.2500 0.7500 0.5000 Ni
0.5000 0.5000 0.0000 Ni
0.0000 0.0000 0.0000 Ir
0.7500 0.2500 0.5000 Ir
```

---

Material: GaNiIr
Method: DFT, PBE-GGA
State: optimized geometry

Values from the calculation:
Crystal system   tetragonal
Final energy   -6.088 eV/atom
Space-group type   I4mm (107)
Calculated formation energy   -199 meV per atom

Structure (POSCAR):
```
GaNiIr
1.0
2.9427 0.0000 0.0000
0.0000 2.9427 0.0000
-1.4713 -1.4713 4.5600
Ga Ni Ir
1 1 1
direct
0.9426 0.9426 0.8852 Ga
0.2939 0.2939 0.5879 Ni
0.6135 0.6135 0.2269 Ir
```

---

Material: Ga2Ni9Ir
Method: DFT, PBE-GGA
State: optimized geometry

Values from the calculation:
Crystal system   tetragonal
Final energy   -5.763 eV/atom
Space-group type   P4/mmm (123)
Calculated formation energy   -184 meV per atom

Structure (POSCAR):
```
Ga2Ni9Ir
1.0
3.6053 0.0000 0.0000
0.0000 3.6053 0.0000
0.0000 0.0000 10.7249
Ga Ir Ni
2 1 9
direct
0.0000 0.0000 0.6634 Ga
0.0000 0.0000 0.3366 Ga
0.0000 0.0000 0.0000 Ir
0.5000 0.5000 0.3341 Ni
0.0000 0.5000 0.5000 Ni
0.0000 0.5000 0.8321 Ni
0.5000 0.0000 0.5000 Ni
0.5000 0.5000 0.6659 Ni
0.5000 0.0000 0.1679 Ni
0.0000 0.5000 0.1679 Ni
0.5000 0.5000 0.0000 Ni
0.5000 0.0000 0.8321 Ni
```

---

Material: Ga5NiIr6
Method: DFT, PBE-GGA
State: optimized geometry

Values from the calculation:
Crystal system   orthorhombic
Final energy   -6.501 eV/atom
Space-group type   Immm (71)
Calculated formation energy   -328 meV per atom

Structure (POSCAR):
```
Ga5NiIr6
1.0
4.1198 0.0163 -1.2017
-0.8317 5.3363 -2.7793
-0.0673 0.4068 7.4382
Ir Ga Ni
6 5 1
direct
0.8325 0.5822 0.6651 Ir
0.5000 0.2517 0.0000 Ir
0.1675 0.4178 0.3349 Ir
0.8325 0.0828 0.6651 Ir
0.1675 0.9172 0.3349 Ir
0.5000 0.7483 0.0000 Ir
0.3384 0.8384 0.6767 Ga
0.0000 0.5000 0.0000 Ga
0.6670 0.6670 0.3340 Ga
0.6616 0.1616 0.3233 Ga
0.3330 0.3330 0.6660 Ga
0.0000 0.0000 0.0000 Ni
```

---

Material: GaNiIr
Method: DFT, PBE-GGA
State: optimized geometry

Values from the calculation:
Crystal system   trigonal
Final energy   -6.071 eV/atom
Space-group type   P3m1 (156)
Calculated formation energy   -181 meV per atom

Structure (POSCAR):
```
GaNiIr
1.0
2.7510 0.0000 0.0000
0.0000 4.0957 0.0000
0.0000 -2.0478 3.5470
Ni Ga Ir
1 1 1
direct
0.8347 0.0000 0.0000 Ni
0.8315 0.6667 0.3333 Ga
0.3338 0.3333 0.6667 Ir
```

---

Material: Ga2Ni3Ir
Method: DFT, PBE-GGA
State: optimized geometry

Values from the calculation:
Crystal system   tetragonal
Final energy   -5.522 eV/atom
Space-group type   I4_1/amd (141)
Calculated formation energy   -146 meV per atom

Structure (POSCAR):
```
Ga2Ni3Ir
1.0
-5.5745 -5.3482 -0.8809
1.3992 -0.1991 -7.6457
5.5413 -0.9461 4.9922
Ni Ga Ir
12 8 4
direct
0.5459 0.4541 0.5000 Ni
0.6250 0.8750 0.7500 Ni
0.1250 0.8750 0.2500 Ni
0.9541 0.4541 0.5000 Ni
0.2959 0.7041 0.0000 Ni
0.1250 0.8750 0.7500 Ni
0.7041 0.2959 0.0000 Ni
0.9541 0.0459 0.5000 Ni
0.1250 0.3750 0.2500 Ni
0.5459 0.0459 0.5000 Ni
0.7041 0.7041 0.0000 Ni
0.2959 0.2959 0.0000 Ni
0.2865 0.1037 0.2074 Ga
0.3537 0.0365 0.7074 Ga
0.9635 0.6463 0.2926 Ga
0.3291 0.6463 0.2926 Ga
0.8963 0.0791 0.7926 Ga
0.8963 0.7135 0.7926 Ga
0.3537 0.6709 0.7074 Ga
0.9209 0.1037 0.2074 Ga
0.5717 0.0717 0.1434 Ir
0.3217 0.3217 0.6434 Ir
0.9283 0.4283 0.8566 Ir
0.6783 0.6783 0.3566 Ir
```